Record 1
A geometry-optimized PmEr3Ir2 structure, computed with GGA-PBE.

Cell lengths 4.617, 8.741, 7.238 Å; angles 90.00, 90.00, 90.00 degrees
Atoms (fractional coordinates):
Pm 0.000 0.084 0.000
Pm 0.000 0.916 0.500
Er 0.000 0.333 0.631
Er 0.000 0.667 0.131
Er 0.500 0.176 0.349
Er 0.500 0.415 0.978
Er 0.500 0.585 0.478
Er 0.500 0.824 0.849
Ir 0.000 0.347 0.237
Ir 0.000 0.653 0.737
Ir 0.500 0.160 0.741
Ir 0.500 0.840 0.241

Summary:
ΔH_f (0 K) ... -731.8 meV/atom
Relative energy among the computed polymorphs ... 0.00 kcal/mol of atoms

---

Record 2
A geometry-optimized Pr2PaTe2N2 structure, computed with GGA-PBE.

Cell lengths 4.456, 4.456, 16.781 Å; angles 90.00, 90.00, 90.00 degrees
Atoms (fractional coordinates):
Pr 0.000 0.000 0.107
Pr 0.000 0.000 0.893
Pr 0.500 0.500 0.393
Pr 0.500 0.500 0.607
Pa 0.000 0.000 0.500
Pa 0.500 0.500 0.000
Te 0.000 0.000 0.315
Te 0.000 0.000 0.685
Te 0.500 0.500 0.185
Te 0.500 0.500 0.815
N 0.000 0.500 0.000
N 0.000 0.500 0.500
N 0.500 0.000 0.000
N 0.500 0.000 0.500

Summary:
Total energy ... -0.5431 Ry/atom

---

Record 3
A geometry-optimized MoRuW2 structure, computed with GGA-PBE.

Cell lengths 5.763, 7.551, 2.875 Å; angles 90.00, 90.00, 90.00 degrees
Atoms (fractional coordinates):
Mo 0.000 0.000 0.000
Mo 0.500 0.500 0.000
Ru 0.000 0.500 0.000
Ru 0.500 0.000 0.000
W 0.250 0.250 0.500
W 0.250 0.750 0.500
W 0.750 0.250 0.500
W 0.750 0.750 0.500

Summary:
ΔH_f (0 K) ... 247.4 meV/atom
Relative energy among the computed polymorphs ... 3.10 kcal/mol of atoms

---

Record 4
A geometry-optimized Ho2CdSn2 structure, computed with GGA-PBE.

Cell lengths 6.248, 6.248, 10.777 Å; angles 112.43, 112.43, 42.92 degrees
Atoms (fractional coordinates):
Ho 0.002 0.002 0.174
Ho 0.179 0.179 0.602
Ho 0.821 0.821 0.398
Ho 0.998 0.998 0.826
Cd 0.298 0.298 0.175
Cd 0.702 0.702 0.825
Sn 0.358 0.358 0.929
Sn 0.450 0.450 0.607
Sn 0.550 0.550 0.393
Sn 0.642 0.642 0.071

Summary:
ΔH_f (0 K) ... -523.3 meV/atom